# 1
The following is a DFT calculation (PBE) of a geometry-optimized MgCoI4 structure.

E: -17.77 eV per cell
Space-group type: P2/m, No. 10

Cell: 7.1470 4.1188 7.7716 Å, 90.00 107.97 90.00°
Positions (direct):
Co  0.5000  0.0000  0.0000
I  0.7496  0.0000  0.7797
I  0.2504  0.0000  0.2203
I  0.7270  0.5000  0.2112
I  0.2730  0.5000  0.7888
Mg  0.0000  0.5000  0.0000

=====

# 2
The following is a DFT calculation (PBE) of a geometry-optimized CoRe structure.

E: -34.11 eV per cell
Space-group type: P6_3mc, No. 186

Cell: 3.8939 3.8939 5.0287 Å, 90.00 90.00 120.00°
Positions (direct):
Re  0.0000  0.0000  0.4136
Co  0.3333  0.6667  0.4614
Re  0.3333  0.6667  0.9136
Co  0.0000  0.0000  0.9614

=====

# 3
The following is a DFT calculation (PBE) of a geometry-optimized NaPrCo structure.

E: -11.60 eV per cell
Energy above the most stable polymorph in this dataset: 0.0000 eV per atom
Space-group type: F-43m, No. 216

Cell: 4.6982 4.6982 4.6982 Å, 60.00 60.00 60.00°
Positions (direct):
Co  0.0000  0.0000  0.0000
Pr  0.7500  0.7500  0.7500
Na  0.2500  0.2500  0.2500

=====

# 4
The following is a DFT calculation (PBE) of a geometry-optimized Tb3In3NiPd2 structure.

E: -44.59 eV per cell
Space-group type: P-62m, No. 189

Cell: 7.6171 7.6171 3.8811 Å, 90.00 90.00 120.00°
Positions (direct):
Tb  0.4089  0.4089  0.0000
Ni  0.0000  0.0000  0.0000
Pd  0.3333  0.6667  0.5000
In  0.7535  0.7535  0.5000
Tb  0.0000  0.5911  0.0000
Tb  0.5911  0.0000  0.0000
In  0.2465  0.0000  0.5000
Pd  0.6667  0.3333  0.5000
In  0.0000  0.2465  0.5000

=====

# 5
The following is a DFT calculation (PBE) of a geometry-optimized Tb2ZnAgAs2O2 structure.

E: -46.45 eV per cell
Space-group type: P-4m2, No. 115

Cell: 3.9474 3.9474 9.1339 Å, 90.00 90.00 90.00°
Positions (direct):
O  0.0000  0.0000  0.5000
Ag  0.0000  0.0000  0.0000
Tb  0.5000  0.0000  0.3791
Zn  0.5000  0.5000  0.0000
Tb  0.0000  0.5000  0.6209
O  0.5000  0.5000  0.5000
As  0.0000  0.5000  0.1917
As  0.5000  0.0000  0.8083

=====

# 6
The following is a DFT calculation (PBE) of a geometry-optimized Hf2ScNb structure.

E: -35.52 eV per cell
Space-group type: F-43m, No. 216

Cell: 4.9159 4.9159 4.9159 Å, 60.00 60.00 60.00°
Positions (direct):
Hf  0.5000  0.5000  0.5000
Nb  0.2500  0.2500  0.2500
Sc  0.0000  0.0000  0.0000
Hf  0.7500  0.7500  0.7500

=====

Which formula does entry 1 have? MgCoI4